(1)
A plane-wave DFT calculation with SCAN was carried out for a crystal of TcMo3 relaxed with PBEsol.

Values from the calculation:
ΔE to the lowest computed polymorph   0.8 meV per atom

a b c (Å): 3.0999 4.4005 5.1535
angles (deg): 115.27 107.50 90.00
Closest atoms and distances in Å follow each position.
Atoms (fractional coordinates):
Mo1 0.7543 0.7543 0.5086  6 Mo 2.66-2.69, 2 Tc 2.72
Mo2 0.5000 0.0000 0.0000  4 Mo 2.66, 4 Tc 2.69
Mo3 0.2457 0.2457 0.4914  6 Mo 2.66-2.69, 2 Tc 2.72
Tc1 0.0000 0.5000 0.0000  8 Mo 2.69-2.72

(2)
A plane-wave DFT calculation with SCAN was carried out for a crystal of BeTe2Mo relaxed with PBEsol.

Values from the calculation:
Formation energy without anion corrections   306 kJ/mol of formula units

a b c (Å): 3.2919 3.2919 7.9503
angles (deg): 90.00 90.00 116.90
Closest atoms and distances in Å follow each position.
Atoms (fractional coordinates):
Be1 0.5000 0.5000 0.5000  4 Te 2.53
Mo1 0.5000 0.5000 0.0000  4 Te 2.74
Te1 0.0000 0.0000 0.2673  2 Be 2.53, 2 Mo 2.74
Te2 0.0000 0.0000 0.7327  2 Be 2.53, 2 Mo 2.74

(3)
A plane-wave DFT calculation with SCAN was carried out for a crystal of Zn2FeRh relaxed with PBEsol.

Values from the calculation:
Uncorrected energy   -19.81 eV/atom

a b c (Å): 2.6003 2.6003 8.2699
angles (deg): 90.00 90.00 113.23
Closest atoms and distances in Å follow each position.
Atoms (fractional coordinates):
Fe1 0.5000 0.5000 0.5000  4 Zn 2.48, 4 Fe 2.60
Rh1 0.5000 0.5000 0.0000  4 Zn 2.55, 4 Rh 2.60
Zn1 0.0000 0.0000 0.2546  2 Fe 2.48, 2 Rh 2.55, 4 Zn 2.60
Zn2 0.0000 0.0000 0.7454  2 Fe 2.48, 2 Rh 2.55, 4 Zn 2.60

(4)
A plane-wave DFT calculation with SCAN was carried out for a crystal of TaCoTcPt2 relaxed with PBEsol.

Values from the calculation:
Uncorrected energy   -50.42 eV/atom

a b c (Å): 4.5633 4.7953 4.7953
angles (deg): 90.00 90.00 90.00
Closest atoms and distances in Å follow each position.
Atoms (fractional coordinates):
Co1 0.5000 0.5000 0.5000  8 Pt 3.31, 4 Tc 3.39
Tc1 0.5000 0.0000 0.0000  2 Ta 2.28
Pt1 0.0000 0.0000 0.5000  2 Ta 2.40
Pt2 0.0000 0.5000 0.0000  2 Ta 2.40
Ta1 0.0000 0.0000 0.0000  2 Tc 2.28, 4 Pt 2.40

(5)
A plane-wave DFT calculation with SCAN was carried out for a crystal of Ti4CoNi relaxed with PBEsol.

Values from the calculation:
Uncorrected energy   -16.57 eV/atom

a b c (Å): 7.8561 7.8561 7.8561
angles (deg): 60.00 60.00 60.00
Closest atoms and distances in Å follow each position.
Atoms (fractional coordinates):
Ti1 0.3672 0.8983 0.3672  3 Co 2.41, 3 Ni 2.53
Ti2 0.3672 0.3672 0.3672  3 Co 2.41, 3 Ni 2.53
Ti3 0.3672 0.3672 0.8983  3 Co 2.41, 3 Ni 2.53
Ti4 0.8983 0.3672 0.3672  3 Co 2.41, 3 Ni 2.53
Ti5 0.9366 0.5634 0.9366  2 Ni 2.61, 2 Co 2.85, 2 Ti 2.85
Ti6 0.5634 0.9366 0.5634  2 Ni 2.61, 2 Co 2.85, 2 Ti 2.85
Ti7 0.9366 0.5634 0.5634  2 Ni 2.61, 2 Co 2.85, 2 Ti 2.85
Ti8 0.5634 0.9366 0.9366  2 Ni 2.61, 2 Co 2.85, 2 Ti 2.85
Ti9 0.9366 0.9366 0.5634  2 Ni 2.61, 2 Co 2.85, 2 Ti 2.85
Ti10 0.5634 0.5634 0.9366  2 Ni 2.61, 2 Co 2.85, 2 Ti 2.85
Ti11 0.8122 0.1878 0.8122  2 Co 2.42
Ti12 0.1878 0.8122 0.1878  2 Co 2.42
Ti13 0.8122 0.1878 0.1878  2 Co 2.42
Ti14 0.1878 0.8122 0.8122  2 Co 2.42
Ti15 0.8122 0.8122 0.1878  2 Co 2.42
Ti16 0.1878 0.1878 0.8122  2 Co 2.42
Co1 0.1516 0.5452 0.1516  6 Ti 2.41-2.42
Co2 0.1516 0.1516 0.1516  6 Ti 2.41-2.42
Co3 0.1516 0.1516 0.5452  6 Ti 2.41-2.42
Co4 0.5452 0.1516 0.1516  6 Ti 2.41-2.42
Ni1 0.5845 0.2465 0.5845  6 Ti 2.53-2.61, 3 Ni 2.66
Ni2 0.5845 0.5845 0.5845  6 Ti 2.53-2.61, 3 Ni 2.66
Ni3 0.5845 0.5845 0.2465  6 Ti 2.53-2.61, 3 Ni 2.66
Ni4 0.2465 0.5845 0.5845  6 Ti 2.53-2.61, 3 Ni 2.66

(6)
A plane-wave DFT calculation with SCAN was carried out for a crystal of TcMoRh2 relaxed with PBEsol.

Values from the calculation:
ΔE to the lowest computed polymorph   65.5 meV per atom

a b c (Å): 3.7851 3.7851 4.7133
angles (deg): 113.67 113.67 90.00
Closest atoms and distances in Å follow each position.
Atoms (fractional coordinates):
Mo1 0.5000 0.5000 0.0000  4 Tc 2.68, 8 Rh 2.71
Rh1 0.7500 0.2500 0.5000  4 Rh 2.68, 4 Mo 2.71, 4 Tc 2.71
Rh2 0.2500 0.7500 0.5000  4 Rh 2.68, 4 Mo 2.71, 4 Tc 2.71
Tc1 0.0000 0.0000 0.0000  4 Mo 2.68, 8 Rh 2.71